No. 1
Entry from Alexandria: GdBi4O8 after structural relaxation (PBE).

a b c (Å): 7.0108 7.0108 9.9048
angles (deg): 119.40 119.40 31.09
Closest atoms and distances in Å follow each position.
Fractional coordinates of all 13 atoms:
Gd1 0.0000 0.0000 0.0000  7 O 2.34-2.46
Bi1 0.2255 0.2255 0.8127  6 O 2.23-2.33
Bi2 0.4499 0.4499 0.6343  7 O 2.35-2.59
Bi3 0.6141 0.6141 0.3726  4 O 2.23-2.46
Bi4 0.8333 0.8333 0.2481  4 O 2.23-2.47
O1 0.0192 0.0192 0.2566  3 Bi 2.23-2.47, 1 Gd 2.42
O2 0.0628 0.0628 0.8193  1 Bi 2.23, 1 Gd 2.34
O3 0.3968 0.3968 0.8261  2 Bi 2.25-2.35, 2 Gd 2.45
O4 0.4281 0.4281 0.3623  3 Bi 2.23-2.46
O5 0.6135 0.6135 0.1379  2 Bi 2.32-2.59, 2 Gd 2.37
O6 0.6490 0.6490 0.6553  4 Bi 2.32-2.59
O7 0.8076 0.8076 0.9709  3 Bi 2.33-2.59, 1 Gd 2.46
O8 0.8317 0.8317 0.4865  4 Bi 2.37-2.56

Calculated values
crystal system	monoclinic
raw total energy	-89.543	eV per formula unit
formation energy from raw total energies	-1.559	eV per atom
magnetic moment	7.0	μB/f.u.
V	216	Å³ per cell

No. 2
Entry from Alexandria: ZrSiCl4 after structural relaxation (PBE).

a b c (Å): 5.6881 5.6881 5.6881
angles (deg): 60.00 60.00 60.00
Closest atoms and distances in Å follow each position.
Fractional coordinates of all 6 atoms:
Zr1 0.0000 0.0000 0.0000  12 Cl 3.33, 4 Si 3.48
Si1 0.2500 0.2500 0.2500  12 Cl 3.34, 4 Zr 3.48
Cl1 0.1225 0.6258 0.6258  6 Cl 2.83-2.86
Cl2 0.6258 0.1225 0.6258  6 Cl 2.83-2.86
Cl3 0.6258 0.6258 0.1225  6 Cl 2.83-2.86
Cl4 0.6258 0.6258 0.6258  6 Cl 2.83-2.86

Calculated values
crystal system	cubic
raw total energy	-17.901	eV per formula unit
formation energy from raw total energies	0.576	eV per atom
magnetic moment	3.0	μB/f.u.
V	130	Å³ per cell

No. 3
Entry from Alexandria: Cs2NaSnBi2 after structural relaxation (PBE).

a b c (Å): 10.4387 10.4387 10.4387
angles (deg): 136.59 62.96 136.74
Closest atoms and distances in Å follow each position.
Fractional coordinates of all 12 atoms:
Cs1 0.1685 0.2413 0.4097  5 Bi 3.98-4.19, 2 Na 4.02, 2 Sn 4.09
Cs2 0.3315 0.7413 0.0728  5 Bi 3.98-4.19, 2 Na 4.02, 2 Sn 4.09
Cs3 0.6685 0.2587 0.9272  5 Bi 3.98-4.19, 2 Na 4.02, 2 Sn 4.09
Cs4 0.8315 0.7587 0.5903  5 Bi 3.98-4.19, 2 Na 4.02, 2 Sn 4.09
Na1 0.2500 0.2500 0.0000  4 Bi 3.32
Na2 0.7500 0.7500 0.0000  4 Bi 3.32
Sn1 0.2500 0.7500 0.5000  4 Bi 3.13
Sn2 0.7500 0.2500 0.5000  4 Bi 3.13
Bi1 0.0965 0.7299 0.8264  2 Sn 3.13, 2 Na 3.32
Bi2 0.4035 0.2299 0.6333  2 Sn 3.13, 2 Na 3.32
Bi3 0.5965 0.7701 0.3667  2 Sn 3.13, 2 Na 3.32
Bi4 0.9035 0.2701 0.1736  2 Sn 3.13, 2 Na 3.32

Calculated values
crystal system	orthorhombic
raw total energy	-16.963	eV per formula unit
ΔH_f (0 K)	-2.17	eV per formula unit
magnetic moment	0.0	μB/f.u.
V	529	Å³ per cell

No. 4
Entry from Alexandria: YTlSeCl2 after structural relaxation (PBE).

a b c (Å): 5.3157 5.3157 5.5629
angles (deg): 90.00 90.00 90.00
Closest atoms and distances in Å follow each position.
Fractional coordinates of all 5 atoms:
Y1 0.0000 0.0000 0.0000  4 Cl 2.66, 2 Se 2.78
Tl1 0.5000 0.5000 0.5000  4 Se 3.76, 8 Cl 3.85
Se1 0.0000 0.0000 0.5000  2 Y 2.78
Cl1 0.0000 0.5000 0.0000  2 Y 2.66
Cl2 0.5000 0.0000 0.0000  2 Y 2.66

Calculated values
crystal system	tetragonal
raw total energy	-23.866	eV per formula unit
formation energy from raw total energies	-1.572	eV per atom
magnetic moment	0.0	μB/f.u.
V	157	Å³ per cell

No. 5
Entry from Alexandria: POs2Pt after structural relaxation (PBE).

a b c (Å): 3.0291 3.7796 5.2296
angles (deg): 90.00 105.54 90.00
Closest atoms and distances in Å follow each position.
Fractional coordinates of all 4 atoms:
P1 0.0000 0.0000 0.0000  4 Os 2.35, 2 Pt 2.61
Os1 0.3596 0.5000 0.2316  2 P 2.35
Os2 0.6404 0.5000 0.7684  2 P 2.35
Pt1 0.0000 0.0000 0.5000  2 P 2.61, 8 Os 2.75-2.80

Calculated values
crystal system	monoclinic
raw total energy	-33.443	eV per formula unit
ΔH_f (0 K)	0.47	eV per formula unit
magnetic moment	0.0	μB/f.u.
V	58	Å³ per cell

No. 6
Entry from Alexandria: Hf8NbIn2 after structural relaxation (PBE).

a b c (Å): 7.9300 7.9300 5.2258
angles (deg): 103.43 103.43 121.19
Closest atoms and distances in Å follow each position.
Fractional coordinates of all 11 atoms:
Hf1 0.1040 0.3204 0.6612  5 Hf 2.91-3.22, 2 In 3.01-3.05
Hf2 0.2027 0.7973 0.0000  1 Nb 2.80, 2 In 2.95
Hf3 0.3204 0.1040 0.6612  5 Hf 2.91-3.22, 2 In 3.01-3.05
Hf4 0.3967 0.3967 0.2077  3 Hf 2.70-2.93, 1 Nb 2.75
Hf5 0.6033 0.6033 0.7923  3 Hf 2.70-2.93, 1 Nb 2.75
Hf6 0.6796 0.8960 0.3388  5 Hf 2.91-3.22, 2 In 3.01-3.05
Hf7 0.7973 0.2027 0.0000  1 Nb 2.80, 2 In 2.95
Hf8 0.8960 0.6796 0.3388  5 Hf 2.91-3.22, 2 In 3.01-3.05
Nb1 0.0000 0.0000 0.0000  4 Hf 2.75-2.80
In1 0.3024 0.6976 0.5000  8 Hf 2.95-3.05
In2 0.6976 0.3024 0.5000  8 Hf 2.95-3.05

Calculated values
crystal system	monoclinic
raw total energy	-93.854	eV per formula unit
ΔH_f (0 K)	1.32	eV per formula unit
magnetic moment	0.0	μB/f.u.
V	248	Å³ per cell

No. 7
Entry from Alexandria: TaBe3Ga after structural relaxation (PBE).

a b c (Å): 4.0514 4.0514 4.0514
angles (deg): 90.00 90.00 90.00
Closest atoms and distances in Å follow each position.
Fractional coordinates of all 5 atoms:
Ta1 0.0000 0.0000 0.0000  12 Be 2.86
Be1 0.0000 0.5000 0.5000  2 Ga 2.03
Be2 0.5000 0.0000 0.5000  2 Ga 2.03
Be3 0.5000 0.5000 0.0000  2 Ga 2.03
Ga1 0.5000 0.5000 0.5000  6 Be 2.03

Calculated values
crystal system	cubic
raw total energy	-21.322	eV per formula unit
ΔH_f (0 K)	4.74	eV per formula unit
magnetic moment	0.0	μB/f.u.
relative energy among the computed polymorphs	0.00	eV per formula unit
V	67	Å³ per cell

No. 8
Entry from Alexandria: TbYCdOs after structural relaxation (PBE).

a b c (Å): 3.4636 3.4636 7.7883
angles (deg): 90.00 90.00 90.00
Closest atoms and distances in Å follow each position.
Fractional coordinates of all 4 atoms:
Tb1 0.0000 0.0000 0.0000  4 Os 2.96
Y1 0.0000 0.0000 0.5731  4 Os 2.96, 4 Cd 3.30
Cd1 0.5000 0.5000 0.2883  4 Y 3.30, 4 Tb 3.32, 4 Cd 3.46
Os1 0.5000 0.5000 0.7872  4 Tb 2.96, 4 Y 2.96

Calculated values
crystal system	tetragonal
raw total energy	-24.402	eV per formula unit
ΔH_f (0 K)	-1.16	eV per formula unit
magnetic moment	0.0	μB/f.u.
relative energy among the computed polymorphs	0.00	eV per formula unit
V	93	Å³ per cell

No. 9
Entry from Alexandria: BeZnSn3 after structural relaxation (PBE).

a b c (Å): 4.9523 4.9523 4.9523
angles (deg): 90.00 90.00 90.00
Closest atoms and distances in Å follow each position.
Fractional coordinates of all 5 atoms:
Be1 0.0000 0.0000 0.0000  6 Sn 2.48
Zn1 0.5000 0.5000 0.5000  12 Sn 3.50
Sn1 0.0000 0.0000 0.5000  2 Be 2.48
Sn2 0.0000 0.5000 0.0000  2 Be 2.48
Sn3 0.5000 0.0000 0.0000  2 Be 2.48

Calculated values
crystal system	cubic
raw total energy	-14.926	eV per formula unit
ΔH_f (0 K)	2.08	eV per formula unit
magnetic moment	0.0	μB/f.u.
relative energy among the computed polymorphs	0.00	eV per formula unit
V	121	Å³ per cell

No. 10
Entry from Alexandria: K2Ag2Se after structural relaxation (PBE).

a b c (Å): 7.5490 7.5490 5.0466
angles (deg): 90.00 90.00 90.00
Closest atoms and distances in Å follow each position.
Fractional coordinates of all 10 atoms:
K1 0.1880 0.3120 0.0000  6 Ag 3.21-3.50
K2 0.3120 0.8120 0.0000  6 Ag 3.21-3.50
K3 0.6880 0.1880 0.0000  6 Ag 3.21-3.50
K4 0.8120 0.6880 0.0000  6 Ag 3.21-3.50
Ag1 0.1267 0.6267 0.5000  1 Ag 2.71, 2 Se 2.98
Ag2 0.3733 0.1267 0.5000  1 Ag 2.71, 2 Se 2.98
Ag3 0.6267 0.8733 0.5000  1 Ag 2.71, 2 Se 2.98
Ag4 0.8733 0.3733 0.5000  1 Ag 2.71, 2 Se 2.98
Se1 0.0000 0.0000 0.5000  4 Ag 2.98
Se2 0.5000 0.5000 0.5000  4 Ag 2.98

Calculated values
crystal system	tetragonal
raw total energy	-12.653	eV per formula unit
formation energy from raw total energies	-0.254	eV per atom
magnetic moment	0.0	μB/f.u.
relative energy among the computed polymorphs	0.42	eV per formula unit
V	288	Å³ per cell

No. 11
Entry from Alexandria: Hf6IrAu3 after structural relaxation (PBE).

a b c (Å): 8.0895 10.9645 4.6860
angles (deg): 90.00 90.00 90.00
Closest atoms and distances in Å follow each position.
Fractional coordinates of all 20 atoms:
Hf1 0.0136 0.2446 0.0000  1 Ir 2.68, 4 Au 2.73-2.80
Hf2 0.1559 0.0883 0.5000  2 Ir 2.83, 3 Au 2.95-3.14, 2 Hf 3.12
Hf3 0.1889 0.4098 0.5000  1 Ir 2.70, 2 Au 2.97
Hf4 0.3111 0.9098 0.0000  1 Ir 2.70, 2 Au 2.97
Hf5 0.3441 0.5883 0.0000  2 Ir 2.83, 3 Au 2.95-3.14, 2 Hf 3.12
Hf6 0.4864 0.7446 0.5000  1 Ir 2.68, 4 Au 2.73-2.80
Hf7 0.5136 0.2554 0.5000  1 Ir 2.68, 4 Au 2.73-2.80
Hf8 0.6559 0.4117 0.0000  2 Ir 2.83, 3 Au 2.95-3.14, 2 Hf 3.12
Hf9 0.6889 0.0902 0.0000  1 Ir 2.70, 2 Au 2.97
Hf10 0.8111 0.5902 0.5000  1 Ir 2.70, 2 Au 2.97
Hf11 0.8441 0.9117 0.5000  2 Ir 2.83, 3 Au 2.95-3.14, 2 Hf 3.12
Hf12 0.9864 0.7554 0.0000  1 Ir 2.68, 4 Au 2.73-2.80
Ir1 0.0000 0.0000 0.0000  8 Hf 2.68-2.83
Ir2 0.5000 0.5000 0.5000  8 Hf 2.68-2.83
Au1 0.0000 0.5000 0.0000  8 Hf 2.80-2.97
Au2 0.1494 0.7139 0.5000  4 Hf 2.73-3.05
Au3 0.3506 0.2139 0.0000  4 Hf 2.73-3.05
Au4 0.5000 0.0000 0.5000  8 Hf 2.80-2.97
Au5 0.6494 0.7861 0.0000  4 Hf 2.73-3.05
Au6 0.8506 0.2861 0.5000  4 Hf 2.73-3.05

Calculated values
crystal system	orthorhombic
raw total energy	-82.108	eV per formula unit
ΔH_f (0 K)	-3.69	eV per formula unit
magnetic moment	0.0	μB/f.u.
V	416	Å³ per cell